[1]
This record from the Alexandria database describes ZrCrAs after structural relaxation. The functional is GGA-PBE.

a = 3.5414 Å, b = 3.5414 Å, c = 5.1464 Å
α = 90.00°, β = 90.00°, γ = 120.00°
Closest atoms and distances in Å follow each position.
Space group P3m1 (No. 156)
Symmetry-distinct sites (fractional):
1 Zr 0.0000 0.0000 0.0000 x1  3 As 2.72, 3 Cr 2.93
2 Cr 0.6667 0.3333 0.5909 x1  3 As 2.40
3 As 0.3333 0.6667 0.3485 x1  3 Cr 2.40

Computed properties:
Crystal system   trigonal
Calculated total energy   -7.692 eV per atom
Size of the total moment   1.36 μB/f.u.
DFT formation energy   -0.0848 eV/atom


[2]
This record from the Alexandria database describes Zr3CrAs after structural relaxation. The functional is GGA-PBE.

a = 5.0051 Å, b = 5.0051 Å, c = 5.0051 Å
α = 90.00°, β = 90.00°, γ = 90.00°
Closest atoms and distances in Å follow each position.
Space group Pm-3m (No. 221)
Symmetry-distinct sites (fractional):
1 Zr 0.0000 0.0000 0.5000 x3  2 As 2.50
2 Cr 0.5000 0.5000 0.5000 x1  12 Zr 3.54
3 As 0.0000 0.0000 0.0000 x1  6 Zr 2.50

Computed properties:
Crystal system   cubic
Energy above the most stable polymorph in this dataset   0 meV per atom
Calculated total energy   -7.688 eV per atom
Size of the total moment   3.70 μB/f.u.
DFT formation energy   0.2954 eV/atom


[3]
This record from the Alexandria database describes ZrCrAs2 after structural relaxation. The functional is GGA-PBE.

a = 3.8279 Å, b = 3.8279 Å, c = 9.9098 Å
α = 90.00°, β = 90.00°, γ = 90.00°
Closest atoms and distances in Å follow each position.
Space group I-4m2 (No. 119)
Symmetry-distinct sites (fractional):
1 Zr 0.0000 0.0000 0.0000 x2  4 As 2.71
2 Cr 0.0000 0.5000 0.2500 x2  4 As 2.71
3 As 0.0000 0.0000 0.5000 x2  4 Zr 2.71
4 As 0.0000 0.5000 0.7500 x2  4 Cr 2.71

Computed properties:
Crystal system   tetragonal
Energy above the most stable polymorph in this dataset   216 meV per atom
Calculated total energy   -7.188 eV per atom
Size of the total moment   3.90 μB/f.u.
DFT formation energy   -0.3199 eV/atom


Which of these has the lowest DFT formation energy?
ZrCrAs2